VASP calculation (PBE) on crystalline BeP at its relaxed geometry.

Computed properties:
D(E_F) = 1.1 states/eV/f.u.
Total magnetization = 0.000 μB per formula unit
Formation energy from the elements = 0.093 eV/atom

The structure in CIF format:
```
data_BeP
_cell_length_a 4.951
_cell_length_b 4.951
_cell_length_c 4.951
_cell_angle_alpha 90.00
_cell_angle_beta 90.00
_cell_angle_gamma 90.00
_space_group_name_H-M_alt 'F -4 3 m'
_space_group_IT_number 216
_space_group_name_Hall 'F -4 2 3'
loop_
_atom_site_label
_atom_site_fract_x
_atom_site_fract_y
_atom_site_fract_z
_atom_site_occupancy
Be1 0.000 0.000 0.000 1
P1 0.250 0.250 0.750 1
```